A relaxed ThHg2Br4 crystal, computed with GGA-PBE.

abc: 4.4486 11.0256 9.7526
angles: 133.60 103.18 90.00
Positions (direct):
Br (0.3669, 0.7690, 0.7338)
Br (0.9219, 0.1335, 0.8438)
Hg (0.6238, 0.6083, 0.2475)
Th (0.0000, 0.0000, 0.0000)
Br (0.0781, 0.8665, 0.1562)
Hg (0.3762, 0.3917, 0.7525)
Br (0.6331, 0.2310, 0.2662)

Its volume is 46.966 Å³ per atom. The uncorrected formation energy comes out at -8.053 eV/f.u. Its space group is C2/m, No. 12. The total magnetic moment is 0.0 μB per cell. The calculation puts the density at 4.81 g/cm3.

A relaxed Th3Si4Au7 crystal, computed with GGA-PBE.

abc: 4.3760 8.5611 8.5408
angles: 67.30 75.16 75.19
Positions (direct):
Th (0.6914, 0.8163, 0.8008)
Si (0.8668, 0.9145, 0.3518)
Th (0.0000, 0.5000, 0.5000)
Si (0.6610, 0.4566, 0.2214)
Si (0.3390, 0.5434, 0.7786)
Au (0.0000, 0.0000, 0.0000)
Th (0.3086, 0.1837, 0.1992)
Au (0.6646, 0.1900, 0.4808)
Au (0.5145, 0.7772, 0.1938)
Au (0.4855, 0.2228, 0.8062)
Si (0.1332, 0.0855, 0.6482)
Au (0.1595, 0.6030, 0.0779)
Au (0.8405, 0.3970, 0.9221)
Au (0.3354, 0.8100, 0.5192)

Its volume is 20.064 Å³ per atom. The uncorrected formation energy comes out at -7.848 eV/f.u. Its space group is C2/m, No. 12. The total magnetic moment is 0.0 μB per cell. The calculation puts the density at 12.93 g/cm3.

A relaxed CsNa2SiAg crystal, computed with GGA-PBE.

abc: 5.8467 5.8467 4.8205
angles: 90.00 90.00 90.00
Positions (direct):
Na (0.5000, 0.0000, 0.0000)
Si (0.0000, 0.0000, 0.5000)
Ag (0.0000, 0.0000, 0.0000)
Na (0.0000, 0.5000, 0.0000)
Cs (0.5000, 0.5000, 0.5000)

Its volume is 32.957 Å³ per atom. The uncorrected formation energy comes out at 0.684 eV/f.u. Its space group is P4/mmm, No. 123. The total magnetic moment is 0.0 μB per cell. The calculation puts the density at 3.17 g/cm3.

A relaxed Hf2ZnB2Ir5 crystal, computed with GGA-PBE.

abc: 3.2000 9.2843 9.2843
angles: 90.00 90.00 90.00
Positions (direct):
B (0.0000, 0.8761, 0.3761)
Zn (0.0000, 0.0000, 0.0000)
B (0.0000, 0.6239, 0.8761)
Hf (0.0000, 0.6768, 0.1768)
Ir (0.5000, 0.2836, 0.5706)
B (0.0000, 0.1239, 0.6239)
Ir (0.5000, 0.9294, 0.2164)
Ir (0.5000, 0.0000, 0.5000)
Ir (0.5000, 0.7164, 0.4294)
Zn (0.0000, 0.5000, 0.5000)
B (0.0000, 0.3761, 0.1239)
Ir (0.5000, 0.2164, 0.0706)
Ir (0.5000, 0.5706, 0.7164)
Ir (0.5000, 0.7836, 0.9294)
Ir (0.5000, 0.5000, 0.0000)
Hf (0.0000, 0.3232, 0.8232)
Hf (0.0000, 0.1768, 0.3232)
Ir (0.5000, 0.0706, 0.7836)
Ir (0.5000, 0.4294, 0.2836)
Hf (0.0000, 0.8232, 0.6768)

Its volume is 13.791 Å³ per atom. Its space group is P4/mbm, No. 127. The calculation puts the raw total energy at -8.6353 eV per atom. The total magnetic moment is 0.0 μB per cell. The calculation puts the density at 16.92 g/cm3.

A relaxed TmBe6Cu6 crystal, computed with GGA-PBE.

abc: 4.4401 6.1195 6.1195
angles: 82.36 68.73 68.73
Positions (direct):
Be (0.0000, 0.0000, 0.5000)
Cu (0.0000, 0.3487, 0.6513)
Cu (0.3515, 0.6485, 0.6485)
Cu (0.7046, 0.7954, 0.7954)
Cu (0.0000, 0.6513, 0.3487)
Be (0.0000, 0.5000, 0.0000)
Cu (0.6485, 0.3515, 0.3515)
Be (0.5000, 0.2379, 0.7621)
Be (0.5000, 0.5000, 0.0000)
Cu (0.2954, 0.2046, 0.2046)
Be (0.5000, 0.0000, 0.5000)
Be (0.5000, 0.7621, 0.2379)
Tm (0.0000, 0.0000, 0.0000)

Its volume is 11.107 Å³ per atom. Its space group is Immm, No. 71. The calculation puts the raw total energy at -4.1064 eV per atom. The total magnetic moment is 0.0 μB per cell. The calculation puts the density at 6.95 g/cm3.

A relaxed LaTbGa2Ru2 crystal, computed with GGA-PBE.

abc: 4.3362 4.3362 7.7946
angles: 90.00 90.00 120.00
Positions (direct):
Ru (0.3333, 0.6667, 0.7349)
Ru (0.6667, 0.3333, 0.2651)
Tb (0.0000, 0.0000, 0.5000)
La (0.0000, 0.0000, 0.0000)
Ga (0.6667, 0.3333, 0.7280)
Ga (0.3333, 0.6667, 0.2720)

Its volume is 21.154 Å³ per atom. Its space group is P-3m1, No. 164. The calculation puts the raw total energy at -6.1629 eV per atom. The total magnetic moment is 0.0 μB per cell. The calculation puts the density at 8.37 g/cm3.